## PmNi2SbO6 (GGA+U)

Data for an optimized crystal structure of PmNi2SbO6.

Output
The space-group type is R3. Its total energy is -6.18 eV/atom. As for the size of the total moment: 4.00 Bohr magnetons per cell.

Cell lengths 5.3865, 5.3871, 5.7507 Å; angles 62.07, 62.07, 59.99 degrees
With the nearest neighbours (Å) after each atom.
Fractional positions:
O1 0.5956 0.2415 0.2329  1 Sb 2.02, 2 Ni 2.10-2.18
Pm1 0.8010 0.8010 0.5970  6 O 2.27-2.48
O2 0.9301 0.5956 0.2330  1 Sb 2.02, 2 Ni 2.10-2.19
Sb1 0.3192 0.3193 0.0423  6 O 2.02-2.04
Ni1 0.0134 0.0134 0.9597  6 O 2.04-2.19
O3 0.2415 0.9301 0.2328  1 Sb 2.02, 2 Ni 2.10-2.18
O4 0.3687 0.7150 0.7609  2 Ni 2.04-2.19, 1 Sb 2.04, 1 Pm 2.27
Ni2 0.5217 0.5218 0.4348  6 O 2.10-2.19
O5 0.7150 0.1553 0.7609  2 Ni 2.04-2.19, 1 Sb 2.04, 1 Pm 2.27
O6 0.1553 0.3687 0.7610  2 Ni 2.04-2.19, 1 Sb 2.04, 1 Pm 2.27